1.
# Pr3SiTeBr

A relaxed Pr3SiTeBr crystal (GGA-PBE, the Alexandria database).

Unit cell a=9.057 b=4.320 c=10.580 alpha=90.00 beta=91.33 gamma=90.00
Space group P2_1/m (No. 11)
Inequivalent atoms, fractional coordinates:
Pr 0.108 0.250 0.359 (multiplicity 2)
Pr 0.146 0.250 0.913 (multiplicity 2)
Pr 0.358 0.750 0.635 (multiplicity 2)
Si 0.126 0.250 0.642 (multiplicity 2)
Te 0.374 0.750 0.332 (multiplicity 2)
Br 0.369 0.750 0.925 (multiplicity 2)

Results
D(E_F) in states/eV per atom: 0.365
M_tot in μB per formula unit: 1.36
E in eV for the cell shown: -61.73

***

2.
# CsSrPb2

A relaxed CsSrPb2 crystal (GGA-PBE, the Alexandria database).

Unit cell a=8.653 b=8.653 c=8.653 alpha=90.00 beta=90.00 gamma=90.00
Space group Fm-3m (No. 225)
Inequivalent atoms, fractional coordinates:
Cs 0.000 0.000 0.000 (multiplicity 4)
Sr 0.000 0.000 0.500 (multiplicity 4)
Pb 0.250 0.250 0.250 (multiplicity 8)

Results
Energy above the most stable polymorph in this dataset in meV/atom: 182.2
D(E_F) in states/eV per atom: 0.753
M_tot in μB per formula unit: 0.00
E_form in eV/atom: -0.108
E in eV for the cell shown: -41.54

***

3.
# Er6TmSc2

A relaxed Er6TmSc2 crystal (GGA-PBE, the Alexandria database).

Unit cell a=12.292 b=14.089 c=6.300 alpha=90.00 beta=103.64 gamma=90.00
Space group C2/c (No. 15)
Inequivalent atoms, fractional coordinates:
Er 0.044 0.183 0.012 (multiplicity 8)
Er 0.143 0.410 0.806 (multiplicity 8)
Er 0.236 0.189 0.712 (multiplicity 8)
Tm 0.000 0.385 0.250 (multiplicity 4)
Sc 0.133 0.018 0.361 (multiplicity 8)

Results
Energy above the most stable polymorph in this dataset in meV/atom: 0.0
D(E_F) in states/eV per atom: 1.435
M_tot in μB per formula unit: 0.00
E_form in eV/atom: 0.115
E in eV for the cell shown: -173.90

***

4.
# LaPm2Ho5Tm

A relaxed LaPm2Ho5Tm crystal (GGA-PBE, the Alexandria database).

Unit cell a=8.760 b=8.760 c=15.383 alpha=90.00 beta=90.00 gamma=90.00
Space group I4/mcm (No. 140)
Inequivalent atoms, fractional coordinates:
La 0.000 0.000 0.250 (multiplicity 4)
Pm 0.116 0.384 0.000 (multiplicity 8)
Ho 0.000 0.000 0.000 (multiplicity 4)
Ho 0.209 0.291 0.364 (multiplicity 16)
Tm 0.000 0.500 0.250 (multiplicity 4)

Results
D(E_F) in states/eV per atom: 1.143
M_tot in μB per formula unit: 0.00
E_form in eV/atom: 0.267
E in eV for the cell shown: -157.55

***

> Look up the D(E_F) of the first one.

0.365 states/eV per atom

***

What did the second record say?
# CsSrPb2

A relaxed CsSrPb2 crystal (GGA-PBE, the Alexandria database).

Unit cell a=8.653 b=8.653 c=8.653 alpha=90.00 beta=90.00 gamma=90.00
Space group Fm-3m (No. 225)
Inequivalent atoms, fractional coordinates:
Cs 0.000 0.000 0.000 (multiplicity 4)
Sr 0.000 0.000 0.500 (multiplicity 4)
Pb 0.250 0.250 0.250 (multiplicity 8)

Results
Energy above the most stable polymorph in this dataset in meV/atom: 182.2
D(E_F) in states/eV per atom: 0.753
M_tot in μB per formula unit: 0.00
E_form in eV/atom: -0.108
E in eV for the cell shown: -41.54

***

Copy entry 2 word for word.
# CsSrPb2

A relaxed CsSrPb2 crystal (GGA-PBE, the Alexandria database).

Unit cell a=8.653 b=8.653 c=8.653 alpha=90.00 beta=90.00 gamma=90.00
Space group Fm-3m (No. 225)
Inequivalent atoms, fractional coordinates:
Cs 0.000 0.000 0.000 (multiplicity 4)
Sr 0.000 0.000 0.500 (multiplicity 4)
Pb 0.250 0.250 0.250 (multiplicity 8)

Results
Energy above the most stable polymorph in this dataset in meV/atom: 182.2
D(E_F) in states/eV per atom: 0.753
M_tot in μB per formula unit: 0.00
E_form in eV/atom: -0.108
E in eV for the cell shown: -41.54

***

What did the fourth record say?
# LaPm2Ho5Tm

A relaxed LaPm2Ho5Tm crystal (GGA-PBE, the Alexandria database).

Unit cell a=8.760 b=8.760 c=15.383 alpha=90.00 beta=90.00 gamma=90.00
Space group I4/mcm (No. 140)
Inequivalent atoms, fractional coordinates:
La 0.000 0.000 0.250 (multiplicity 4)
Pm 0.116 0.384 0.000 (multiplicity 8)
Ho 0.000 0.000 0.000 (multiplicity 4)
Ho 0.209 0.291 0.364 (multiplicity 16)
Tm 0.000 0.500 0.250 (multiplicity 4)

Results
D(E_F) in states/eV per atom: 1.143
M_tot in μB per formula unit: 0.00
E_form in eV/atom: 0.267
E in eV for the cell shown: -157.55